Version A
VASP calculation (GGA-PBE) on Sr2MnSbN after structural relaxation.

a = 5.528 Å, b = 5.528 Å, c = 3.961 Å
α = 90.00°, β = 90.00°, γ = 90.00°
Fractional positions:
1 Sr 0.000 0.500 0.000
2 Sr 0.500 0.000 0.000
3 Mn 0.000 0.000 0.500
4 Sb 0.500 0.500 0.500
5 N 0.000 0.000 0.000

Summary:
Magnetic moment (μB/cell): 4.5
Space group: P4/mmm

---

Version B
VASP calculation (GGA-PBE) on Sr2MnSbN after structural relaxation.

a = 6.073 Å, b = 6.073 Å, c = 3.609 Å
α = 90.00°, β = 90.00°, γ = 90.00°
Fractional positions:
1 Sr 0.000 0.500 0.000
2 Sr 0.500 0.000 0.000
3 Mn 0.000 0.000 0.000
4 Sb 0.500 0.500 0.500
5 N 0.000 0.000 0.500

Summary:
Magnetic moment (μB/cell): 2.4
Space group: P4/mmm

---

Energy relative to the most stable one, in meV per atom: version A 0; version B 341

---

Version A
VASP calculation (GGA-PBE) on MnSbTe2N after structural relaxation.

a = 5.444 Å, b = 5.444 Å, c = 3.562 Å
α = 90.00°, β = 90.00°, γ = 90.00°
Fractional positions:
1 Mn 0.000 0.000 0.000
2 Sb 0.500 0.500 0.500
3 Te 0.000 0.500 0.000
4 Te 0.500 0.000 0.000
5 N 0.000 0.000 0.500

Summary:
Magnetic moment (μB/cell): 1.6
Space group: P4/mmm

---

Version B
VASP calculation (GGA-PBE) on MnSbTe2N after structural relaxation.

a = 5.820 Å, b = 5.820 Å, c = 3.931 Å
α = 90.00°, β = 90.00°, γ = 90.00°
Fractional positions:
1 Mn 0.000 0.000 0.000
2 Sb 0.500 0.500 0.500
3 Te 0.000 0.500 0.500
4 Te 0.500 0.000 0.500
5 N 0.500 0.500 0.000

Summary:
Magnetic moment (μB/cell): 4.7
Space group: P4/mmm

---

Version C
VASP calculation (GGA-PBE) on MnSbTe2N after structural relaxation.

a = 4.624 Å, b = 4.624 Å, c = 4.697 Å
α = 90.00°, β = 90.00°, γ = 90.00°
Fractional positions:
1 Mn 0.000 0.000 0.000
2 Sb 0.500 0.500 0.000
3 Te 0.000 0.500 0.500
4 Te 0.500 0.000 0.500
5 N 0.500 0.500 0.500

Summary:
Magnetic moment (μB/cell): 0.0
Space group: P4/mmm

---

Energy relative to the most stable one, in meV per atom: version A 0; version B 744; version C 936

---

Version A
VASP calculation (GGA-PBE) on MnSbTeN2 after structural relaxation.

a = 3.930 Å, b = 3.930 Å, c = 5.323 Å
α = 90.00°, β = 90.00°, γ = 90.00°
Fractional positions:
1 Mn 0.000 0.000 0.000
2 Sb 0.500 0.500 0.500
3 Te 0.000 0.000 0.500
4 N 0.000 0.500 0.000
5 N 0.500 0.000 0.000

Summary:
Magnetic moment (μB/cell): 0.0
Space group: P4/mmm

---

Version B
VASP calculation (GGA-PBE) on MnSbTeN2 after structural relaxation.

a = 4.028 Å, b = 4.028 Å, c = 6.490 Å
α = 90.00°, β = 90.00°, γ = 90.00°
Fractional positions:
1 Mn 0.000 0.000 0.000
2 Sb 0.500 0.500 0.500
3 Te 0.500 0.500 0.000
4 N 0.000 0.500 0.500
5 N 0.500 0.000 0.500

Summary:
Magnetic moment (μB/cell): 5.8
Space group: P4/mmm

---

Energy relative to the most stable one, in meV per atom: version A 0; version B 204

---

Version A
VASP calculation (GGA-PBE) on Sc3MnN after structural relaxation.

a = 4.348 Å, b = 4.348 Å, c = 4.348 Å
α = 90.00°, β = 90.00°, γ = 90.00°
Fractional positions:
1 Sc 0.000 0.000 0.500
2 Sc 0.000 0.500 0.000
3 Sc 0.500 0.000 0.000
4 Mn 0.500 0.500 0.500
5 N 0.000 0.000 0.000

Summary:
Magnetic moment (μB/cell): 0.0
Space group: Pm-3m

---

Version B
VASP calculation (GGA-PBE) on Sc3MnN after structural relaxation.

a = 4.655 Å, b = 4.655 Å, c = 4.655 Å
α = 90.00°, β = 90.00°, γ = 90.00°
Fractional positions:
1 Sc 0.000 0.000 0.500
2 Sc 0.000 0.500 0.000
3 Sc 0.500 0.000 0.000
4 Mn 0.000 0.000 0.000
5 N 0.500 0.500 0.500

Summary:
Magnetic moment (μB/cell): 0.0
Space group: Pm-3m

---

Energy relative to the most stable one, in meV per atom: version A 0; version B 1478

---

Version A
VASP calculation (GGA-PBE) on ScMn3N after structural relaxation.

a = 4.293 Å, b = 4.293 Å, c = 4.293 Å
α = 90.00°, β = 90.00°, γ = 90.00°
Fractional positions:
1 Sc 0.000 0.000 0.000
2 Mn 0.000 0.000 0.500
3 Mn 0.000 0.500 0.000
4 Mn 0.500 0.000 0.000
5 N 0.500 0.500 0.500

Summary:
Magnetic moment (μB/cell): 0.9
Space group: Pm-3m

---

Version B
VASP calculation (GGA-PBE) on ScMn3N after structural relaxation.

a = 3.871 Å, b = 3.871 Å, c = 3.871 Å
α = 90.00°, β = 90.00°, γ = 90.00°
Fractional positions:
1 Sc 0.000 0.000 0.000
2 Mn 0.000 0.500 0.500
3 Mn 0.500 0.000 0.500
4 Mn 0.500 0.500 0.000
5 N 0.500 0.500 0.500

Summary:
Magnetic moment (μB/cell): 3.2
Space group: Pm-3m

---

Energy relative to the most stable one, in meV per atom: version A 3317; version B 0

---

Version A
VASP calculation (GGA-PBE) on ScMnSe2N after structural relaxation.

a = 5.209 Å, b = 5.209 Å, c = 4.084 Å
α = 90.00°, β = 90.00°, γ = 90.00°
Fractional positions:
1 Sc 0.000 0.000 0.000
2 Mn 0.500 0.500 0.500
3 Se 0.000 0.500 0.000
4 Se 0.500 0.000 0.000
5 N 0.000 0.000 0.500

Summary:
Magnetic moment (μB/cell): 3.0
Space group: P4/mmm

---

Version B
VASP calculation (GGA-PBE) on ScMnSe2N after structural relaxation.

a = 4.950 Å, b = 4.950 Å, c = 3.520 Å
α = 90.00°, β = 90.00°, γ = 90.00°
Fractional positions:
1 Sc 0.000 0.000 0.000
2 Mn 0.500 0.500 0.500
3 Se 0.000 0.500 0.500
4 Se 0.500 0.000 0.500
5 N 0.500 0.500 0.000

Summary:
Magnetic moment (μB/cell): 1.5
Space group: P4/mmm

---

Energy relative to the most stable one, in meV per atom: version A 540; version B 0